[1]
Material: Tm3Zn4Hg2
Method: DFT, PBE
State: optimized geometry Values from VASP.

Calculated formation energy = -3.5 eV per formula unit
Total moment = 0.00 μB/cell
Density = 10.33 Mg/m³

```
&SYSTEM
  ibrav = 0, nat = 9, ntyp = 3
/
ATOMIC_SPECIES
Tm 168.93 Tm.upf
Zn 65.41 Zn.upf
Hg 200.59 Hg.upf
CELL_PARAMETERS angstrom
-2.396 2.286 3.206
-3.224 -2.012 -4.288
2.107 -6.002 5.855
ATOMIC_POSITIONS crystal
Tm 0.666 0.332 0.669
Tm 0.000 0.000 0.000
Tm 0.334 0.668 0.331
Zn 0.730 0.459 0.052
Zn 0.270 0.541 0.948
Zn 0.950 0.901 0.609
Zn 0.050 0.099 0.391
Hg 0.612 0.225 0.277
Hg 0.388 0.775 0.723
```

[2]
Material: Ba8In2Ge
Method: DFT, PBE
State: optimized geometry Values from VASP.

Calculated formation energy = -3.0 eV per formula unit
Total moment = 0.64 μB/cell
Density = 4.62 Mg/m³
Energy above the lowest structure with this stoichiometry = 0 meV/atom

```
&SYSTEM
  ibrav = 0, nat = 11, ntyp = 3
/
ATOMIC_SPECIES
Ba 137.33 Ba.upf
In 114.82 In.upf
Ge 72.64 Ge.upf
CELL_PARAMETERS angstrom
-3.972 -4.365 1.164
5.442 -5.680 -2.731
3.496 3.582 9.817
ATOMIC_POSITIONS crystal
Ba 0.405 0.576 0.810
Ba 0.658 0.951 0.317
Ba 0.793 0.699 0.585
Ba 0.974 0.203 0.948
Ba 0.207 0.301 0.415
Ba 0.342 0.049 0.683
Ba 0.595 0.424 0.190
Ba 0.026 0.797 0.052
In 0.818 0.300 0.636
In 0.182 0.700 0.364
Ge 0.500 0.000 0.000
```

[3]
Material: Mo2IrAu
Method: DFT, PBE
State: optimized geometry Values from VASP.

Calculated formation energy = 0.6 eV per formula unit
Total moment = 0.00 μB/cell
Density = 15.26 Mg/m³
Energy above the lowest structure with this stoichiometry = 160 meV/atom

```
&SYSTEM
  ibrav = 0, nat = 4, ntyp = 3
/
ATOMIC_SPECIES
Au 196.97 Au.upf
Ir 192.22 Ir.upf
Mo 95.94 Mo.upf
CELL_PARAMETERS angstrom
-1.102 3.635 3.009
1.022 -1.401 4.525
2.669 -0.090 -4.043
ATOMIC_POSITIONS crystal
Au 0.500 0.500 0.000
Ir 0.250 0.750 0.500
Mo 0.000 0.000 0.000
Mo 0.750 0.250 0.500
```

[4]
Material: Li2TlIn2
Method: DFT, PBE
State: optimized geometry Values from VASP.

Calculated formation energy = -0.3 eV per formula unit
Total moment = 0.00 μB/cell
Density = 6.11 Mg/m³
Energy above the lowest structure with this stoichiometry = 118 meV/atom

```
&SYSTEM
  ibrav = 0, nat = 5, ntyp = 3
/
ATOMIC_SPECIES
Tl 204.38 Tl.upf
Li 6.94 Li.upf
In 114.82 In.upf
CELL_PARAMETERS angstrom
-0.294 -0.175 -4.143
1.084 -4.013 0.093
-6.381 -3.911 -1.468
ATOMIC_POSITIONS crystal
Tl 0.000 0.000 0.000
Li 0.750 0.250 0.500
Li 0.250 0.750 0.500
In 0.395 0.395 0.210
In 0.605 0.605 0.790
```

[5]
Material: Cu14SiGe
Method: DFT, PBE
State: optimized geometry Values from VASP.

Raw formation energy = 18 meV/atom
Total moment = 0.00 μB/cell
Density = 8.39 Mg/m³

```
&SYSTEM
  ibrav = 0, nat = 16, ntyp = 3
/
ATOMIC_SPECIES
Cu 63.55 Cu.upf
Si 28.09 Si.upf
Ge 72.64 Ge.upf
CELL_PARAMETERS angstrom
-4.934 1.582 0.410
1.748 -3.698 3.208
2.319 5.821 5.446
ATOMIC_POSITIONS crystal
Cu 0.206 0.794 0.000
Cu 0.706 0.294 0.000
Cu 0.041 0.457 0.500
Cu 0.207 0.296 0.000
Cu 0.543 0.959 0.500
Cu 0.704 0.793 0.000
Cu 0.380 0.127 0.751
Cu 0.380 0.127 0.249
Cu 0.873 0.620 0.751
Cu 0.873 0.620 0.249
Cu 0.377 0.623 0.749
Cu 0.377 0.623 0.251
Cu 0.876 0.124 0.755
Cu 0.876 0.124 0.245
Si 0.541 0.459 0.500
Ge 0.041 0.959 0.500
```

[6]
Material: KNa2ICl6
Method: DFT, PBE
State: optimized geometry Values from VASP.

Raw formation energy = -1132 meV/atom
Total moment = 0.00 μB/cell
Density = 2.07 Mg/m³

```
&SYSTEM
  ibrav = 0, nat = 10, ntyp = 4
/
ATOMIC_SPECIES
K 39.10 K.upf
Na 22.99 Na.upf
I 126.90 I.upf
Cl 35.45 Cl.upf
CELL_PARAMETERS angstrom
-4.414 5.527 1.353
-6.615 -2.200 2.530
-1.663 -0.096 7.967
ATOMIC_POSITIONS crystal
K 0.826 0.800 0.567
Na 0.572 0.517 0.393
Na 0.037 0.986 0.913
I 0.325 0.292 0.054
Cl 0.448 0.224 0.345
Cl 0.237 0.929 0.237
Cl 0.846 0.731 0.228
Cl 0.401 0.662 0.854
Cl 0.780 0.158 0.663
Cl 0.189 0.363 0.761
```

[7]
Material: Y4ZnCuAg2
Method: DFT, PBE
State: optimized geometry Values from VASP.

Calculated formation energy = -2.4 eV per formula unit
Total moment = 0.00 μB/cell
Density = 6.25 Mg/m³

```
&SYSTEM
  ibrav = 0, nat = 8, ntyp = 4
/
ATOMIC_SPECIES
Y 88.91 Y.upf
Zn 65.41 Zn.upf
Cu 63.55 Cu.upf
Ag 107.87 Ag.upf
CELL_PARAMETERS angstrom
-1.342 -2.826 -4.009
2.802 0.114 -4.242
5.107 -7.188 0.132
ATOMIC_POSITIONS crystal
Y 0.377 0.377 0.868
Y 0.873 0.873 0.381
Y 0.127 0.127 0.619
Y 0.623 0.623 0.132
Zn 0.000 0.000 0.000
Cu 0.500 0.500 0.500
Ag 0.747 0.747 0.758
Ag 0.253 0.253 0.242
```

[8]
Material: Pr4Tl5Pt2
Method: DFT, PBE
State: optimized geometry Values from VASP.

Calculated formation energy = -6.5 eV per formula unit
Total moment = 0.00 μB/cell
Density = 10.58 Mg/m³

```
&SYSTEM
  ibrav = 0, nat = 11, ntyp = 3
/
ATOMIC_SPECIES
Pr 140.91 Pr.upf
Tl 204.38 Tl.upf
Pt 195.08 Pt.upf
CELL_PARAMETERS angstrom
-2.366 -2.766 1.231
6.170 -5.294 -0.036
1.611 2.806 9.404
ATOMIC_POSITIONS crystal
Pr 0.500 0.782 0.571
Pr 0.500 0.189 0.847
Pr 0.500 0.218 0.429
Pr 0.500 0.811 0.153
Tl 0.000 0.544 0.333
Tl 0.000 0.155 0.137
Tl 0.000 0.500 0.000
Tl 0.000 0.845 0.863
Tl 0.000 0.456 0.667
Pt 0.000 0.077 0.634
Pt 0.000 0.923 0.366
```